Record 1
DFT (PBE-GGA) results for an optimized crystal structure of MgZnTeO.

a = 3.770 Å, b = 3.770 Å, c = 12.175 Å
α = 90.00°, β = 90.00°, γ = 120.00°
Atoms (fractional coordinates):
Mg (0.333, 0.667, 0.287)
Mg (0.667, 0.333, 0.787)
O (0.000, 0.000, 0.323)
O (0.000, 0.000, 0.823)
Te (0.667, 0.333, 0.096)
Te (0.333, 0.667, 0.596)
Zn (0.000, 0.000, 0.482)
Zn (0.000, 0.000, 0.982)

Results
Symmetry: No. 186
Excess energy over the best structure of this formula in the dataset: 0.76 eV/f.u.
V: 18.73 Å³/atom
ρ: 5.2 Mg/m³
Uncorrected energy: -30.62 eV per cell


Record 2
DFT (PBE-GGA) results for an optimized crystal structure of PdSeS.

a = 9.721 Å, b = 9.721 Å, c = 6.486 Å
α = 90.00°, β = 90.00°, γ = 158.33°
Atoms (fractional coordinates):
Pd (0.000, 0.000, 0.026)
Pd (0.500, 0.500, 0.644)
S (0.924, 0.076, 0.735)
S (0.076, 0.924, 0.735)
Se (0.561, 0.439, 0.258)
Se (0.439, 0.561, 0.258)

Results
Symmetry: No. 35
Excess energy over the best structure of this formula in the dataset: 0.85 eV/f.u.
V: 37.72 Å³/atom
ρ: 3.2 Mg/m³
Uncorrected energy: -25.17 eV per cell


Record 3
DFT (PBE-GGA) results for an optimized crystal structure of HfZrAl2Au2.

a = 8.908 Å, b = 4.454 Å, c = 13.367 Å
α = 90.00°, β = 109.46°, γ = 90.00°
Atoms (fractional coordinates):
Al (0.062, 0.500, 0.124)
Al (0.563, 0.500, 0.125)
Al (0.937, 0.000, 0.375)
Al (0.437, 0.000, 0.375)
Al (0.813, 0.500, 0.625)
Al (0.312, 0.500, 0.625)
Al (0.187, 0.000, 0.875)
Al (0.688, 0.000, 0.876)
Au (0.000, 0.000, 0.000)
Au (0.501, 0.000, 0.002)
Au (0.374, 0.500, 0.248)
Au (0.874, 0.500, 0.248)
Au (0.248, 0.000, 0.501)
Au (0.753, 0.000, 0.501)
Au (0.123, 0.500, 0.749)
Au (0.628, 0.500, 0.751)
Hf (0.312, 0.000, 0.125)
Hf (0.813, 0.000, 0.125)
Hf (0.063, 0.000, 0.625)
Hf (0.938, 0.500, 0.875)
Zr (0.187, 0.500, 0.375)
Zr (0.687, 0.500, 0.375)
Zr (0.562, 0.000, 0.625)
Zr (0.437, 0.500, 0.875)

Results
Symmetry: No. 6
Magnetic moment: 0.00 μB/atom
V: 20.83 Å³/atom
ρ: 9.5 Mg/m³
Uncorrected energy: -142.91 eV per cell


Record 4
DFT (PBE-GGA) results for an optimized crystal structure of SmSiHO4.

a = 4.946 Å, b = 6.711 Å, c = 4.530 Å
α = 90.00°, β = 96.96°, γ = 90.00°
Atoms (fractional coordinates):
H (0.000, 0.000, 0.500)
H (0.000, 0.500, 0.500)
O (0.698, 0.250, 0.204)
O (0.114, 0.559, 0.293)
O (0.114, 0.941, 0.293)
O (0.614, 0.750, 0.372)
O (0.386, 0.250, 0.628)
O (0.886, 0.059, 0.707)
O (0.886, 0.441, 0.707)
O (0.302, 0.750, 0.796)
Si (0.303, 0.750, 0.438)
Si (0.697, 0.250, 0.562)
Sm (0.205, 0.250, 0.070)
Sm (0.795, 0.750, 0.930)

Results
Symmetry: No. 11
Excess energy over the best structure of this formula in the dataset: 0.28 eV/f.u.
Magnetic moment: 0.00 μB/atom
V: 10.66 Å³/atom
ρ: 5.4 Mg/m³
Uncorrected energy: -103.83 eV per cell


Record 5
DFT (PBE-GGA) results for an optimized crystal structure of Nd2Y2CI2Br2Cl.

a = 9.690 Å, b = 9.690 Å, c = 8.233 Å
α = 100.24°, β = 100.24°, γ = 23.46°
Atoms (fractional coordinates):
Br (0.833, 0.833, 0.168)
Br (0.167, 0.167, 0.832)
C (0.500, 0.500, 0.000)
Cl (0.500, 0.500, 0.500)
I (0.167, 0.167, 0.344)
I (0.833, 0.833, 0.656)
Nd (0.997, 0.997, 0.212)
Nd (0.003, 0.003, 0.788)
Y (0.629, 0.629, 0.058)
Y (0.371, 0.371, 0.942)

Results
Symmetry: No. 12
Excess energy over the best structure of this formula in the dataset: 0.08 eV/f.u.
Magnetic moment: 0.02 μB/atom
V: 30.26 Å³/atom
ρ: 5.1 Mg/m³
Uncorrected energy: -53.44 eV per cell


Record 6
DFT (PBE-GGA) results for an optimized crystal structure of YTlFeCo.

a = 4.647 Å, b = 4.647 Å, c = 4.647 Å
α = 60.00°, β = 60.00°, γ = 60.00°
Atoms (fractional coordinates):
Co (0.750, 0.750, 0.750)
Fe (0.250, 0.250, 0.250)
Tl (0.000, 0.000, 0.000)
Y (0.500, 0.500, 0.500)

Results
Symmetry: No. 216
Excess energy over the best structure of this formula in the dataset: 0.00 eV/f.u.
Magnetic moment: 0.77 μB/atom
V: 17.74 Å³/atom
ρ: 9.5 Mg/m³
Uncorrected energy: -23.29 eV per cell


Record 7
DFT (PBE-GGA) results for an optimized crystal structure of PrNdPBr2.

a = 4.178 Å, b = 4.178 Å, c = 10.881 Å
α = 90.00°, β = 90.00°, γ = 120.00°
Atoms (fractional coordinates):
Br (0.333, 0.667, 0.319)
Br (0.000, 0.000, 0.679)
Nd (0.000, 0.000, 0.147)
P (0.667, 0.333, 0.002)
Pr (0.333, 0.667, 0.853)

Results
Symmetry: No. 156
Magnetic moment: 0.00 μB/atom
V: 32.90 Å³/atom
ρ: 4.8 Mg/m³
Uncorrected energy: -27.12 eV per cell


Record 8
DFT (PBE-GGA) results for an optimized crystal structure of Ni2GeTe4.

a = 7.943 Å, b = 7.943 Å, c = 7.943 Å
α = 60.00°, β = 60.00°, γ = 60.00°
Atoms (fractional coordinates):
Ge (0.500, 0.500, 0.500)
Ge (0.750, 0.750, 0.750)
Ni (0.125, 0.125, 0.125)
Ni (0.125, 0.625, 0.125)
Ni (0.625, 0.125, 0.125)
Ni (0.125, 0.125, 0.625)
Te (0.891, 0.891, 0.326)
Te (0.924, 0.359, 0.359)
Te (0.359, 0.359, 0.359)
Te (0.359, 0.924, 0.359)
Te (0.891, 0.891, 0.891)
Te (0.891, 0.326, 0.891)
Te (0.326, 0.891, 0.891)
Te (0.359, 0.359, 0.924)

Results
Symmetry: No. 227
Magnetic moment: 0.00 μB/atom
V: 25.31 Å³/atom
ρ: 6.6 Mg/m³
Uncorrected energy: -58.11 eV per cell


Record 9
DFT (PBE-GGA) results for an optimized crystal structure of ZnCdTeO.

a = 4.210 Å, b = 4.210 Å, c = 10.660 Å
α = 90.00°, β = 90.00°, γ = 90.00°
Atoms (fractional coordinates):
Cd (0.250, 0.250, 0.270)
Cd (0.750, 0.750, 0.730)
O (0.250, 0.250, 0.076)
O (0.750, 0.750, 0.924)
Te (0.750, 0.250, 0.500)
Te (0.250, 0.750, 0.500)
Zn (0.750, 0.750, 0.098)
Zn (0.250, 0.250, 0.902)

Results
Symmetry: No. 129
Excess energy over the best structure of this formula in the dataset: 3.18 eV/f.u.
V: 23.62 Å³/atom
ρ: 5.6 Mg/m³
Uncorrected energy: -20.46 eV per cell


Record 10
DFT (PBE-GGA) results for an optimized crystal structure of Rb2Ag2Mo3.

a = 10.387 Å, b = 10.387 Å, c = 10.387 Å
α = 24.98°, β = 24.98°, γ = 24.98°
Atoms (fractional coordinates):
Ag (0.025, 0.025, 0.025)
Ag (0.550, 0.550, 0.550)
Mo (0.309, 0.309, 0.309)
Mo (0.637, 0.637, 0.637)
Mo (0.936, 0.936, 0.936)
Rb (0.164, 0.164, 0.164)
Rb (0.755, 0.755, 0.755)

Results
Symmetry: No. 160
Magnetic moment: 0.01 μB/atom
V: 25.12 Å³/atom
ρ: 6.4 Mg/m³
Uncorrected energy: -34.48 eV per cell


Record 11
DFT (PBE-GGA) results for an optimized crystal structure of Y2HoFe2B2N3.

a = 10.472 Å, b = 10.472 Å, c = 10.472 Å
α = 161.07°, β = 161.07°, γ = 26.90°
Atoms (fractional coordinates):
B (0.187, 0.187, 0.000)
B (0.813, 0.813, 0.000)
Fe (0.750, 0.250, 0.500)
Fe (0.250, 0.750, 0.500)
Ho (0.000, 0.000, 0.000)
N (0.114, 0.114, 0.000)
N (0.500, 0.500, 0.000)
N (0.886, 0.886, 0.000)
Y (0.378, 0.378, 0.000)
Y (0.622, 0.622, 0.000)

Results
Symmetry: No. 139
Magnetic moment: 0.24 μB/atom
V: 12.08 Å³/atom
ρ: 7.1 Mg/m³
Uncorrected energy: -84.16 eV per cell


Record 12
DFT (PBE-GGA) results for an optimized crystal structure of Dy3AlGa2Ge2Pd.

a = 4.260 Å, b = 7.043 Å, c = 7.043 Å
α = 121.14°, β = 90.00°, γ = 90.00°
Atoms (fractional coordinates):
Al (0.000, 0.767, 0.767)
Dy (0.500, 0.588, 0.004)
Dy (0.500, 0.412, 0.412)
Dy (0.500, 0.004, 0.588)
Ga (0.000, 0.997, 0.235)
Ga (0.000, 0.235, 0.997)
Ge (0.000, 0.667, 0.339)
Ge (0.000, 0.339, 0.667)
Pd (0.500, 0.992, 0.992)

Results
Symmetry: No. 38
Magnetic moment: 0.00 μB/atom
V: 20.10 Å³/atom
ρ: 8.3 Mg/m³
Uncorrected energy: -45.23 eV per cell


The highest uncorrected energy belongs to which entry? ZnCdTeO